(1)
Compound: LaTlHgS3
Source: the Open Quantum Materials Database
Functional: PBE
Structure: relaxed

Lattice parameters (Å, degrees): 11.2262 4.3116 14.0474 90.00 90.00 90.00
Space group Pnma (No. 62)
One atom of each set of equivalent atoms:
La 0.0129 0.2500 0.2352 [4 per cell]
Tl 0.2118 0.7500 0.4882 [4 per cell]
Hg 0.2361 0.2500 0.7032 [4 per cell]
S 0.0326 0.2500 0.6290 [4 per cell]
S 0.0764 0.7500 0.1077 [4 per cell]
S 0.2419 0.7500 0.8192 [4 per cell]

Results
For the density, the calculation gives 6.253 g cm⁻³. For the excess energy over the best structure of this formula in the dataset, the calculation gives 0 meV per atom.


(2)
Compound: LaTePbAuS2
Source: the Open Quantum Materials Database
Functional: PBE
Structure: relaxed

Lattice parameters (Å, degrees): 4.1852 14.1860 11.5344 90.00 90.00 90.00
Space group Cmcm (No. 63)
One atom of each set of equivalent atoms:
La 0.0000 0.0000 0.0000 [4 per cell]
Te 0.0000 0.1135 0.2500 [4 per cell]
Pb 0.0000 0.2035 0.7500 [4 per cell]
Au 0.0000 0.4814 0.2500 [4 per cell]
S 0.0000 0.3722 0.0755 [8 per cell]

Results
For the density, the calculation gives 7.127 g cm⁻³.


(3)
Compound: Ta4Co2GeSe12
Source: the Open Quantum Materials Database
Functional: PBE
Structure: relaxed

Lattice parameters (Å, degrees): 13.9411 3.4160 19.7365 90.00 107.62 90.00
Space group C2/m (No. 12)
One atom of each set of equivalent atoms:
Ta 0.1305 0.0000 0.1599 [4 per cell]
Ta 0.2453 0.0000 0.4080 [4 per cell]
Co 0.2309 0.5000 0.2884 [4 per cell]
Ge 0.0000 0.5000 0.0000 [2 per cell]
Se 0.0182 0.5000 0.8692 [4 per cell]
Se 0.1078 0.0000 0.2890 [4 per cell]
Se 0.1265 0.0000 0.6080 [4 per cell]
Se 0.1365 0.5000 0.4544 [4 per cell]
Se 0.1899 0.5000 0.7599 [4 per cell]
Se 0.1932 0.5000 0.0822 [4 per cell]

Results
For the density, the calculation gives 6.902 g cm⁻³.


(4)
Compound: HfBeGaIr
Source: the Open Quantum Materials Database
Functional: PBE
Structure: relaxed

Lattice parameters (Å, degrees): 6.2225 6.2225 6.2225 90.00 90.00 90.00
Space group F-43m (No. 216)
One atom of each set of equivalent atoms:
Hf 0.0000 0.0000 0.0000 [4 per cell]
Be 0.0000 0.0000 0.5000 [4 per cell]
Ga 0.2500 0.2500 0.7500 [4 per cell]
Ir 0.2500 0.2500 0.2500 [4 per cell]

Results
For the density, the calculation gives 12.390 g cm⁻³. For the excess energy over the best structure of this formula in the dataset, the calculation gives 94 meV per atom.


(5)
Compound: HoHfNO
Source: the Open Quantum Materials Database
Functional: PBE
Structure: relaxed

Lattice parameters (Å, degrees): 4.1554 4.1554 8.0072 90.00 90.00 90.00
Space group P4/nmm (No. 129, origin choice 2)
One atom of each set of equivalent atoms:
Ho 0.2500 0.2500 0.1152 [2 per cell]
Hf 0.2500 0.7500 0.5000 [2 per cell]
N 0.2500 0.2500 0.5590 [2 per cell]
O 0.2500 0.7500 0.0000 [2 per cell]

Results
For the density, the calculation gives 8.970 g cm⁻³. For the excess energy over the best structure of this formula in the dataset, the calculation gives 100 meV per atom.


(6)
Compound: Cu7Ag3
Source: the Open Quantum Materials Database
Functional: PBE
Structure: relaxed

Lattice parameters (Å, degrees): 8.5610 3.7630 8.5613 90.00 91.38 90.00
Space group C2/m (No. 12)
One atom of each set of equivalent atoms:
Cu 0.0000 0.0000 0.0000 [2 per cell]
Cu 0.0901 0.5000 0.1795 [4 per cell]
Cu 0.1042 0.0000 0.7286 [4 per cell]
Cu 0.2019 0.5000 0.9129 [4 per cell]
Ag 0.0000 0.5000 0.5000 [2 per cell]
Ag 0.1989 0.0000 0.3785 [4 per cell]

Results
Its formation energy is 0.0708 eV/atom. For the density, the calculation gives 9.256 g cm⁻³. For the excess energy over the best structure of this formula in the dataset, the calculation gives 26 meV per atom.


(7)
Compound: BePt
Source: the Open Quantum Materials Database
Functional: PBE
Structure: relaxed

Lattice parameters (Å, degrees): 4.6661 4.6661 4.6661 90.00 90.00 90.00
Space group Fm-3m (No. 225)
One atom of each set of equivalent atoms:
Be 0.0000 0.0000 0.0000 [4 per cell]
Pt 0.0000 0.0000 0.5000 [4 per cell]

Results
For the density, the calculation gives 13.344 g cm⁻³.


(8)
Compound: Cs3CuAs2
Source: the Open Quantum Materials Database
Functional: PBE
Structure: relaxed

Lattice parameters (Å, degrees): 10.9061 9.9732 10.4633 90.00 114.00 90.00
Space group C2/c (No. 15)
One atom of each set of equivalent atoms:
Cs 0.0000 0.1677 0.2500 [4 per cell]
Cs 0.1992 0.4539 0.9793 [8 per cell]
Cu 0.0000 0.2034 0.7500 [4 per cell]
As 0.1374 0.2187 0.6400 [8 per cell]

Results
For the density, the calculation gives 3.911 g cm⁻³.


| no. | final energy (eV/cell) |
| --- | --- |
| 1 | -104.44 |
| 2 | -115.95 |
| 3 | -240.28 |
| 4 | -108.19 |
| 5 | -71.58 |
| 6 | -67.57 |
| 7 | -41.33 |
| 8 | -66.13 |